Entry 1:
This record from the Alexandria database describes an optimized crystal structure of NaUPd2Se4. The functional is PBE.

Values from the calculation:
Raw formation energy (meV/atom): -614.6

a b c (Å): 6.928 6.152 6.152
angles (deg): 70.13 55.73 55.73
Last column: magnetic moment on the atom in μB.
Positions (direct):
Na: 0.000 0.000 0.000  0.00
U: 0.500 0.500 0.500  1.98
Pd: 0.195 0.305 0.305  -0.05
Pd: 0.805 0.695 0.695  -0.05
Se: 0.513 0.035 0.490  -0.08
Se: 0.038 0.965 0.510  -0.08
Se: 0.962 0.490 0.035  -0.08
Se: 0.487 0.510 0.965  -0.08

=====

Entry 2:
This record from the Alexandria database describes an optimized crystal structure of NaVPdSe3. The functional is PBE.

Values from the calculation:
Raw formation energy (meV/atom): -679.5

a b c (Å): 3.620 7.858 9.147
angles (deg): 107.78 90.00 90.00
Last column: magnetic moment on the atom in μB.
Positions (direct):
Na: 0.250 0.218 0.259  0.00
Na: 0.750 0.782 0.741  0.00
V: 0.250 0.685 0.183  0.07
V: 0.750 0.315 0.817  0.07
Pd: 0.250 0.123 0.585  -0.01
Pd: 0.750 0.877 0.415  -0.01
Se: 0.750 0.888 0.141  -0.01
Se: 0.250 0.112 0.859  -0.01
Se: 0.250 0.678 0.445  -0.01
Se: 0.750 0.322 0.555  -0.01
Se: 0.750 0.435 0.119  -0.01
Se: 0.250 0.565 0.881  -0.01